No. 1
# CaMoPt | Alexandria via LeMat-Bulk | PBEsol | optimized geometry
# - ΔH_f (0 K) (eV/atom) = 1.2952
# - polymorph energy (0 for the lowest one) (eV/atom) = 1.196
data_CaMoPt
_cell_length_a 6.3710
_cell_length_b 6.3710
_cell_length_c 6.3710
_cell_angle_alpha 90.00
_cell_angle_beta 90.00
_cell_angle_gamma 90.00
_symmetry_space_group_name_H-M 'F -4 3 m'
_symmetry_Int_Tables_number 216
_symmetry_space_group_name_Hall 'F -4 2 3'
loop_
_atom_site_label
_atom_site_fract_x
_atom_site_fract_y
_atom_site_fract_z
Ca1 0.0000 0.0000 0.0000
Mo1 0.2500 0.2500 0.2500
Pt1 0.2500 0.2500 0.7500



No. 2
# CaMoPt | Alexandria via LeMat-Bulk | PBEsol | optimized geometry
# - ΔH_f (0 K) (eV/atom) = 0.0990
# - polymorph energy (0 for the lowest one) (eV/atom) = 0.000
data_CaMoPt
_cell_length_a 2.9390
_cell_length_b 2.9390
_cell_length_c 12.9037
_cell_angle_alpha 90.00
_cell_angle_beta 90.00
_cell_angle_gamma 90.00
_symmetry_space_group_name_H-M 'I 4 m m'
_symmetry_Int_Tables_number 107
_symmetry_space_group_name_Hall 'I 4 -2'
loop_
_atom_site_label
_atom_site_fract_x
_atom_site_fract_y
_atom_site_fract_z
Ca1 0.0000 0.0000 0.0000
Mo1 0.0000 0.0000 0.3034
Pt1 0.0000 0.0000 0.6759



Spin magnetization (computed, μB/f.u.): 3.4, 0.0
Mass density (computed, g/cm³): 8.50, 9.87